First-principles (PBE) data for a relaxed Er2Al5Ag5 crystal, as listed in Alexandria via LeMat-Bulk. Values from VASP.

Values from the calculation:
VASP energy	-3.805	eV per atom
ΔE_f	-297	meV per atom
crystal system	orthorhombic
SG	Pmmm (47)

The structure in Quantum ESPRESSO input format:
```
&SYSTEM
  ibrav = 0, nat = 12, ntyp = 3
/
ATOMIC_SPECIES
Er 167.26 Er.upf
Al 26.98 Al.upf
Ag 107.87 Ag.upf
CELL_PARAMETERS angstrom
4.4443 0.0000 0.0000
0.0000 5.4183 0.0000
0.0000 0.0000 9.4913
ATOMIC_POSITIONS crystal
Er 0.0000 0.0000 0.0000
Er 0.0000 0.5000 0.5000
Al 0.5000 0.0000 0.5000
Al 0.5000 0.2482 0.2445
Al 0.5000 0.2482 0.7555
Al 0.5000 0.7518 0.2445
Al 0.5000 0.7518 0.7555
Ag 0.0000 0.0000 0.3354
Ag 0.0000 0.0000 0.6646
Ag 0.0000 0.5000 0.1804
Ag 0.0000 0.5000 0.8196
Ag 0.5000 0.5000 0.0000
```